! MoPdN2F (PBE+U, optimized geometry); values from VASP
! Polymorph energy (0 for the lowest one): 595 meV per atom
! Calculated total energy: -5.196 eV/atom
! Space-group type: P4/mmm
&SYSTEM
  ibrav = 0, nat = 5, ntyp = 4
/
ATOMIC_SPECIES
F 19.00 F.upf
N 14.01 N.upf
Mo 95.94 Mo.upf
Pd 106.42 Pd.upf
ATOMIC_POSITIONS angstrom
F 0.2920 1.1056 1.7100
N 1.5735 -1.1535 0.4771
N -1.2153 -1.2403 1.0094
Mo 0.6502 -1.2882 3.1965
Pd 0.0000 0.0000 0.0000
CELL_PARAMETERS angstrom
-2.4306 -2.4805 2.0188
3.1469 -2.3071 0.9542
0.5840 2.2111 3.4201